1.
{
  "formula": "TbMg2ZnCu2",
  "functional": "GGA-PBE",
  "state": "optimized geometry",
  "delta_e_f_mev_per_atom": 104,
  "e_tot_ev_per_atom": -2.777,
  "volume_a3_per_atom": 21.5,
  "total_magnetization_mub_per_atom": 0.00,
  "crystal_system": "tetragonal",
  "lattice_angstrom": [[-2.493, 2.493, 5.190], [2.493, -2.493, 5.190], [2.493, 2.493, -5.190]],
  "species": ["Tb", "Mg", "Mg", "Zn", "Cu", "Cu"],
  "fractional_positions": [[0.000, 0.000, 0.000], [0.250, 0.750, 0.500], [0.750, 0.250, 0.500], [0.500, 0.500, 0.000], [0.274, 0.274, 0.000], [0.726, 0.726, 0.000]]
}

2.
{
  "formula": "LaAl2Ag3",
  "functional": "GGA-PBE",
  "state": "optimized geometry",
  "delta_e_f_mev_per_atom": -252,
  "e_tot_ev_per_atom": -3.746,
  "volume_a3_per_atom": 21.4,
  "total_magnetization_mub_per_atom": 0.00,
  "crystal_system": "monoclinic",
  "lattice_angstrom": [[8.373, -2.188, 0.000], [8.373, 2.188, 0.000], [-3.399, 0.000, 7.011]],
  "species": ["La", "La", "Al", "Al", "Al", "Al", "Ag", "Ag", "Ag", "Ag", "Ag", "Ag"],
  "fractional_positions": [[0.150, 0.150, 0.070], [0.850, 0.850, 0.930], [0.192, 0.192, 0.680], [0.481, 0.481, 0.825], [0.519, 0.519, 0.175], [0.808, 0.808, 0.320], [0.035, 0.035, 0.366], [0.316, 0.316, 0.558], [0.400, 0.400, 0.310], [0.600, 0.600, 0.690], [0.684, 0.684, 0.442], [0.965, 0.965, 0.634]]
}

3.
{
  "formula": "Li4Hg7Pb",
  "functional": "GGA-PBE",
  "state": "optimized geometry",
  "delta_e_f_mev_per_atom": -221,
  "e_tot_ev_per_atom": -1.344,
  "volume_a3_per_atom": 21.9,
  "total_magnetization_mub_per_atom": 0.00,
  "crystal_system": "triclinic",
  "lattice_angstrom": [[4.842, 0.000, 0.000], [-2.298, 7.003, 0.000], [-0.300, -0.102, 7.762]],
  "species": ["Li", "Li", "Li", "Li", "Hg", "Hg", "Hg", "Hg", "Hg", "Hg", "Hg", "Pb"],
  "fractional_positions": [[0.124, 0.237, 0.077], [0.337, 0.669, 0.209], [0.663, 0.331, 0.791], [0.876, 0.763, 0.923], [0.057, 0.111, 0.744], [0.190, 0.356, 0.425], [0.281, 0.571, 0.833], [0.500, 0.000, 0.000], [0.719, 0.429, 0.167], [0.810, 0.644, 0.575], [0.943, 0.889, 0.256], [0.500, 0.000, 0.500]]
}

4.
{
  "formula": "Tm2PuMg",
  "functional": "GGA-PBE",
  "state": "optimized geometry",
  "delta_e_f_mev_per_atom": 107,
  "e_tot_ev_per_atom": -6.111,
  "volume_a3_per_atom": 27.1,
  "total_magnetization_mub_per_atom": 1.64,
  "crystal_system": "tetragonal",
  "lattice_angstrom": [[5.493, 0.000, 0.000], [0.000, 5.493, 0.000], [0.000, 0.000, 3.595]],
  "species": ["Tm", "Tm", "Pu", "Mg"],
  "fractional_positions": [[0.000, 0.500, 0.000], [0.500, 0.000, 0.000], [0.000, 0.000, 0.500], [0.500, 0.500, 0.500]]
}

5.
{
  "formula": "Nd4SbAs2Se",
  "functional": "GGA-PBE",
  "state": "optimized geometry",
  "e_tot_ev_per_atom": -6.042,
  "volume_a3_per_atom": 28.7,
  "formation_energy_uncorrected_mev_per_atom": -1544,
  "total_magnetization_mub_per_atom": 0.00,
  "crystal_system": "monoclinic",
  "lattice_angstrom": [[7.484, 0.000, 0.000], [0.000, 4.326, 0.000], [-2.490, 0.000, 7.101]],
  "species": ["Nd", "Nd", "Nd", "Nd", "Sb", "As", "As", "Se"],
  "fractional_positions": [[0.242, 0.000, 0.236], [0.252, 0.500, 0.763], [0.748, 0.500, 0.237], [0.758, 0.000, 0.764], [0.500, 0.500, 0.500], [0.000, 0.500, 0.000], [0.500, 0.000, 0.000], [0.000, 0.000, 0.500]]
}

6.
{
  "formula": "Na12ZnBi7",
  "functional": "GGA-PBE",
  "state": "optimized geometry",
  "delta_e_f_mev_per_atom": -155,
  "e_tot_ev_per_atom": -2.368,
  "volume_a3_per_atom": 34.2,
  "total_magnetization_mub_per_atom": 0.00,
  "crystal_system": "trigonal",
  "lattice_angstrom": [[6.513, 3.761, 4.648], [-6.513, 3.761, 4.648], [0.000, -7.521, 4.648]],
  "species": ["Na", "Na", "Na", "Na", "Na", "Na", "Na", "Na", "Na", "Na", "Na", "Na", "Zn", "Bi", "Bi", "Bi", "Bi", "Bi", "Bi", "Bi"],
  "fractional_positions": [[0.064, 0.075, 0.344], [0.075, 0.344, 0.064], [0.259, 0.719, 0.693], [0.281, 0.307, 0.741], [0.307, 0.741, 0.281], [0.344, 0.064, 0.075], [0.656, 0.936, 0.925], [0.693, 0.259, 0.719], [0.719, 0.693, 0.259], [0.741, 0.281, 0.307], [0.925, 0.656, 0.936], [0.936, 0.925, 0.656], [0.500, 0.500, 0.500], [0.000, 0.000, 0.000], [0.137, 0.442, 0.416], [0.416, 0.137, 0.442], [0.442, 0.416, 0.137], [0.558, 0.584, 0.863], [0.584, 0.863, 0.558], [0.863, 0.558, 0.584]]
}

7.
{
  "formula": "Y3Al4",
  "functional": "GGA-PBE",
  "state": "optimized geometry",
  "delta_e_f_mev_per_atom": -454,
  "e_tot_ev_per_atom": -5.363,
  "volume_a3_per_atom": 23.0,
  "total_magnetization_mub_per_atom": 0.10,
  "crystal_system": "orthorhombic",
  "lattice_angstrom": [[-1.821, 2.249, 9.832], [1.821, -2.249, 9.832], [1.821, 2.249, -9.832]],
  "species": ["Y", "Y", "Y", "Al", "Al", "Al", "Al"],
  "fractional_positions": [[0.000, 0.000, 0.000], [0.305, 0.805, 0.500], [0.695, 0.195, 0.500], [0.140, 0.640, 0.500], [0.434, 0.434, 0.000], [0.566, 0.566, 0.000], [0.860, 0.360, 0.500]]
}

8.
{
  "formula": "La8Tb5Pu",
  "functional": "GGA-PBE",
  "state": "optimized geometry",
  "delta_e_f_mev_per_atom": 173,
  "e_tot_ev_per_atom": -5.320,
  "volume_a3_per_atom": 35.1,
  "total_magnetization_mub_per_atom": 0.43,
  "crystal_system": "monoclinic",
  "lattice_angstrom": [[7.715, -4.267, 0.000], [7.715, 4.267, 0.000], [-4.638, 0.000, 7.453]],
  "species": ["La", "La", "La", "La", "La", "La", "La", "La", "Tb", "Tb", "Tb", "Tb", "Tb", "Pu"],
  "fractional_positions": [[0.044, 0.581, 0.433], [0.119, 0.119, 0.189], [0.240, 0.418, 0.785], [0.419, 0.956, 0.567], [0.543, 0.104, 0.085], [0.582, 0.760, 0.215], [0.881, 0.881, 0.811], [0.896, 0.457, 0.915], [0.259, 0.636, 0.228], [0.364, 0.741, 0.772], [0.532, 0.269, 0.539], [0.731, 0.468, 0.461], [0.967, 0.033, 0.500], [0.651, 0.349, 0.000]]
}

9.
{
  "formula": "Ti3In",
  "functional": "GGA-PBE",
  "state": "optimized geometry",
  "delta_e_f_mev_per_atom": -40,
  "e_tot_ev_per_atom": -6.646,
  "volume_a3_per_atom": 18.3,
  "total_magnetization_mub_per_atom": 0.00,
  "crystal_system": "orthorhombic",
  "lattice_angstrom": [[-1.485, 4.823, 2.557], [1.485, -4.823, 2.557], [1.485, 4.823, -2.557]],
  "species": ["Ti", "Ti", "Ti", "In"],
  "fractional_positions": [[0.000, 0.000, 0.000], [0.409, 0.657, 0.752], [0.905, 0.657, 0.248], [0.491, 0.991, 0.500]]
}

10.
{
  "formula": "La2VPbC",
  "functional": "GGA-PBE",
  "state": "optimized geometry",
  "delta_e_f_mev_per_atom": -231,
  "e_tot_ev_per_atom": -6.612,
  "volume_a3_per_atom": 24.2,
  "total_magnetization_mub_per_atom": 0.48,
  "crystal_system": "tetragonal",
  "lattice_angstrom": [[5.390, 0.000, 0.000], [0.000, 5.390, 0.000], [0.000, 0.000, 4.168]],
  "species": ["La", "La", "V", "Pb", "C"],
  "fractional_positions": [[0.000, 0.500, 0.000], [0.500, 0.000, 0.000], [0.000, 0.000, 0.500], [0.500, 0.500, 0.500], [0.000, 0.000, 0.000]]
}

11.
{
  "formula": "K2YTe3O12",
  "functional": "GGA-PBE",
  "state": "optimized geometry",
  "e_tot_ev_per_atom": -5.755,
  "volume_a3_per_atom": 16.4,
  "formation_energy_uncorrected_mev_per_atom": -1445,
  "total_magnetization_mub_per_atom": 0.05,
  "crystal_system": "trigonal",
  "lattice_angstrom": [[3.704, 2.138, 6.222], [-3.704, 2.138, 6.222], [0.000, -4.277, 6.222]],
  "species": ["K", "K", "Y", "Te", "Te", "Te", "O", "O", "O", "O", "O", "O", "O", "O", "O", "O", "O", "O"],
  "fractional_positions": [[0.126, 0.126, 0.126], [0.874, 0.874, 0.874], [0.500, 0.500, 0.500], [0.000, 0.500, 0.500], [0.500, 0.000, 0.500], [0.500, 0.500, 0.000], [0.142, 0.579, 0.579], [0.185, 0.185, 0.584], [0.185, 0.584, 0.185], [0.416, 0.815, 0.815], [0.421, 0.421, 0.858], [0.421, 0.858, 0.421], [0.579, 0.142, 0.579], [0.579, 0.579, 0.142], [0.584, 0.185, 0.185], [0.815, 0.416, 0.815], [0.815, 0.815, 0.416], [0.858, 0.421, 0.421]]
}

12.
{
  "formula": "As3PtC",
  "functional": "GGA-PBE",
  "state": "optimized geometry",
  "delta_e_f_mev_per_atom": 1890,
  "e_tot_ev_per_atom": -3.953,
  "volume_a3_per_atom": 23.6,
  "total_magnetization_mub_per_atom": 0.05,
  "crystal_system": "cubic",
  "lattice_angstrom": [[4.907, 0.000, 0.000], [0.000, 4.907, 0.000], [0.000, 0.000, 4.907]],
  "species": ["As", "As", "As", "Pt", "C"],
  "fractional_positions": [[0.000, 0.000, 0.500], [0.000, 0.500, 0.000], [0.500, 0.000, 0.000], [0.000, 0.000, 0.000], [0.500, 0.500, 0.500]]
}